Entry a
# W3AuCl

An optimized crystal structure of W3AuCl (PBE, the Alexandria database).

The structure belongs to space group Pm-3m (No. 221); the cell edges are 4.959, 4.959 and 4.959 Å and the angles 90.00°, 90.00° and 90.00°. The inequivalent atoms are W at (0.000, 0.000, 0.500), Au at (0.000, 0.000, 0.000) and Cl at (0.500, 0.500, 0.500).

***

Entry b
# W3AuCl

An optimized crystal structure of W3AuCl (PBE, the Alexandria database).

The structure belongs to space group Pm-3m (No. 221); the cell edges are 4.404, 4.404 and 4.404 Å and the angles 90.00°, 90.00° and 90.00°. The inequivalent atoms are W at (0.000, 0.000, 0.500), Au at (0.500, 0.500, 0.500) and Cl at (0.000, 0.000, 0.000).

***

Which of them is the most stable? Correct choice: entry b.

***

Entry a
# Y2AuCl

An optimized crystal structure of Y2AuCl (PBE, the Alexandria database).

The structure belongs to space group Immm (No. 71); the cell edges are 4.202, 5.912 and 7.875 Å and the angles 90.00°, 90.00° and 90.00°. The inequivalent atoms are Y at (0.000, 0.000, 0.236), Au at (0.000, 0.500, 0.000) and Cl at (0.000, 0.500, 0.500).

***

Entry b
# Y2AuCl

An optimized crystal structure of Y2AuCl (PBE, the Alexandria database).

The structure belongs to space group I-42d (No. 122); the cell edges are 6.087, 6.087 and 13.732 Å and the angles 90.00°, 90.00° and 90.00°. The inequivalent atoms are Y at (0.243, 0.250, 0.125), Au at (0.000, 0.000, 0.500) and Cl at (0.000, 0.000, 0.000).

***

Which of them is the most stable? Correct choice: entry a.

***

Entry a
# Y2AuCl

An optimized crystal structure of Y2AuCl (PBE, the Alexandria database).

The structure belongs to space group Fm-3m (No. 225); the cell edges are 7.244, 7.244 and 7.244 Å and the angles 90.00°, 90.00° and 90.00°. The inequivalent atoms are Y at (0.250, 0.250, 0.250), Au at (0.000, 0.000, 0.000) and Cl at (0.000, 0.000, 0.500).

***

Entry b
# Y2AuCl

An optimized crystal structure of Y2AuCl (PBE, the Alexandria database).

The structure belongs to space group F-43m (No. 216); the cell edges are 7.366, 7.366 and 7.366 Å and the angles 90.00°, 90.00° and 90.00°. The inequivalent atoms are Y at (0.000, 0.000, 0.000), Y at (0.250, 0.250, 0.250), Au at (0.000, 0.000, 0.500) and Cl at (0.250, 0.250, 0.750).

***

Entry c
# Y2AuCl

An optimized crystal structure of Y2AuCl (PBE, the Alexandria database).

The structure belongs to space group Imm2 (No. 44); the cell edges are 3.630, 3.885 and 14.698 Å and the angles 90.00°, 90.00° and 90.00°. The inequivalent atoms are Y at (0.000, 0.000, 0.000), Y at (0.000, 0.500, 0.270), Au at (0.000, 0.500, 0.852) and Cl at (0.000, 0.000, 0.601).

***

Entry d
# Y2AuCl

An optimized crystal structure of Y2AuCl (PBE, the Alexandria database).

The structure belongs to space group P4/mmm (No. 123); the cell edges are 4.088, 4.088 and 5.929 Å and the angles 90.00°, 90.00° and 90.00°. The inequivalent atoms are Y at (0.000, 0.000, 0.000), Y at (0.500, 0.500, 0.500), Au at (0.000, 0.000, 0.500) and Cl at (0.500, 0.500, 0.000).

***

Which of them is the most stable? Correct choice: entry d.

***

Entry a
# Y2AuCl

An optimized crystal structure of Y2AuCl (PBE, the Alexandria database).

The structure belongs to space group R3m (No. 160, hexagonal axes); the cell edges are 3.9893, 3.9893 and 23.2968 Å and the angles 90.00°, 90.00° and 120.00°. The inequivalent atoms are Y at (0.0000, 0.0000, 0.0000), Y at (0.0000, 0.0000, 0.1867), Au at (0.0000, 0.0000, 0.5936) and Cl at (0.0000, 0.0000, 0.4210).

***

Entry b
# Y2AuCl

An optimized crystal structure of Y2AuCl (PBE, the Alexandria database).

The structure belongs to space group Pmmm (No. 47); the cell edges are 3.540, 3.638 and 7.933 Å and the angles 90.00°, 90.00° and 90.00°. The inequivalent atoms are Y at (0.000, 0.000, 0.220), Au at (0.500, 0.500, 0.000) and Cl at (0.500, 0.000, 0.500).

***

Which of them is the most stable? Correct choice: entry b.

***

Entry a
# Y2AuCl

An optimized crystal structure of Y2AuCl (PBE, the Alexandria database).

The structure belongs to space group Cm (No. 8); the cell edges are 14.227, 3.860 and 3.821 Å and the angles 90.00°, 90.24° and 90.00°. The inequivalent atoms are Y at (0.000, 0.000, 0.000), Y at (0.233, 0.000, 0.494), Au at (0.161, 0.500, 0.994) and Cl at (0.426, 0.000, 0.499).

***

Entry b
# Y2AuCl

An optimized crystal structure of Y2AuCl (PBE, the Alexandria database).

The structure belongs to space group C2/m (No. 12); the cell edges are 7.125, 4.101 and 7.510 Å and the angles 90.00°, 108.54° and 90.00°. The inequivalent atoms are Y at (0.244, 0.000, 0.229), Au at (0.000, 0.500, 0.000) and Cl at (0.000, 0.000, 0.500).

***

Which of them is the most stable? Correct choice: entry b.

***

Entry a
# YAuCl3

An optimized crystal structure of YAuCl3 (PBE, the Alexandria database).

The structure belongs to space group Pm-3m (No. 221); the cell edges are 5.118, 5.118 and 5.118 Å and the angles 90.00°, 90.00° and 90.00°. The inequivalent atoms are Y at (0.000, 0.000, 0.000), Au at (0.500, 0.500, 0.500) and Cl at (0.000, 0.500, 0.500).

***

Entry b
# YAuCl3

An optimized crystal structure of YAuCl3 (PBE, the Alexandria database).

The structure belongs to space group Pm-3m (No. 221); the cell edges are 5.295, 5.295 and 5.295 Å and the angles 90.00°, 90.00° and 90.00°. The inequivalent atoms are Y at (0.000, 0.000, 0.000), Au at (0.500, 0.500, 0.500) and Cl at (0.000, 0.000, 0.500).

***

Which of them is the most stable? Correct choice: entry b.

***

Entry a
# Zn2AuCl

An optimized crystal structure of Zn2AuCl (PBE, the Alexandria database).

The structure belongs to space group R-3m (No. 166, hexagonal axes); the cell edges are 3.5321, 3.5321 and 21.6473 Å and the angles 90.00°, 90.00° and 120.00°. The inequivalent atoms are Zn at (0.0000, 0.0000, 0.2450), Au at (0.0000, 0.0000, 0.5000) and Cl at (0.0000, 0.0000, 0.0000).

***

Entry b
# Zn2AuCl

An optimized crystal structure of Zn2AuCl (PBE, the Alexandria database).

The structure belongs to space group Pmmm (No. 47); the cell edges are 3.162, 3.346 and 7.136 Å and the angles 90.00°, 90.00° and 90.00°. The inequivalent atoms are Zn at (0.000, 0.000, 0.209), Au at (0.500, 0.500, 0.000) and Cl at (0.500, 0.000, 0.500).

***

Entry c
# Zn2AuCl

An optimized crystal structure of Zn2AuCl (PBE, the Alexandria database).

The structure belongs to space group Cmm2 (No. 35); the cell edges are 3.388, 5.347 and 8.593 Å and the angles 90.00°, 90.00° and 90.00°. The inequivalent atoms are Zn at (0.000, 0.000, 0.000), Zn at (0.000, 0.500, 0.229), Au at (0.000, 0.500, 0.773) and Cl at (0.000, 0.000, 0.424).

***

Entry d
# Zn2AuCl

An optimized crystal structure of Zn2AuCl (PBE, the Alexandria database).

The structure belongs to space group F-43m (No. 216); the cell edges are 6.772, 6.772 and 6.772 Å and the angles 90.00°, 90.00° and 90.00°. The inequivalent atoms are Zn at (0.000, 0.000, 0.000), Zn at (0.250, 0.250, 0.250), Au at (0.250, 0.250, 0.750) and Cl at (0.000, 0.000, 0.500).

***

Which of them is the most stable? Correct choice: entry b.

***

Entry a
# Zn2AuCl

An optimized crystal structure of Zn2AuCl (PBE, the Alexandria database).

The structure belongs to space group Cmmm (No. 65); the cell edges are 7.053, 7.076 and 2.865 Å and the angles 90.00°, 90.00° and 90.00°. The inequivalent atoms are Zn at (0.250, 0.250, 0.000), Au at (0.000, 0.000, 0.500) and Cl at (0.000, 0.500, 0.500).

***

Entry b
# Zn2AuCl

An optimized crystal structure of Zn2AuCl (PBE, the Alexandria database).

The structure belongs to space group Cmmm (No. 65); the cell edges are 3.349, 6.103 and 7.985 Å and the angles 90.00°, 90.00° and 90.00°. The inequivalent atoms are Zn at (0.000, 0.000, 0.245), Au at (0.000, 0.500, 0.000) and Cl at (0.000, 0.500, 0.500).

***

Entry c
# Zn2AuCl

An optimized crystal structure of Zn2AuCl (PBE, the Alexandria database).

The structure belongs to space group Fm-3m (No. 225); the cell edges are 6.705, 6.705 and 6.705 Å and the angles 90.00°, 90.00° and 90.00°. The inequivalent atoms are Zn at (0.250, 0.250, 0.250), Au at (0.000, 0.000, 0.000) and Cl at (0.000, 0.000, 0.500).

***

Which of them is the most stable? Correct choice: entry b.